VASP calculation (PBE) on TbCe3Pr3Se8 after structural relaxation.

Values from the calculation:
E_form (uncorrected): -1.8688 eV/atom
Volume: 1278.52 Å³/cell
Raw total energy: -92.7 eV per formula unit

Geometry as CIF:
```
data_TbCe3Pr3Se8
_chemical_formula_sum 'Tb3 Ce9 Pr9 Se24'
_cell_length_a 8.4401
_cell_length_b 8.4401
_cell_length_c 20.7245
_cell_angle_alpha 90.00
_cell_angle_beta 90.00
_cell_angle_gamma 120.00
_symmetry_space_group_name_H-M 'R -3 m'
_symmetry_Int_Tables_number 166
_symmetry_space_group_name_Hall '-R 3 2"'
loop_
_atom_site_label
_atom_site_fract_x
_atom_site_fract_y
_atom_site_fract_z
_atom_site_occupancy
Tb1 0.0000 0.0000 0.0000 1
Ce1 0.0000 0.5000 0.0000 1
Pr1 0.0000 0.5000 0.5000 1
Se1 0.0000 0.0000 0.2515 1
Se2 0.0035 0.5017 0.7477 1
```